Record 1
# La7PrDy12 (GGA-PBE, relaxed)
data_La7PrDy12
_space_group_name_H-M_alt 'I m -3 m'
_space_group_IT_number 229
_space_group_name_Hall '-I 4 2 3'
_cell_length_a 11.389
_cell_length_b 11.389
_cell_length_c 11.389
_cell_angle_alpha 90.00
_cell_angle_beta 90.00
_cell_angle_gamma 90.00
loop_
_atom_site_label
_atom_site_type_symbol
_atom_site_fract_x
_atom_site_fract_y
_atom_site_fract_z
_atom_site_occupancy
La1 La 0.000 0.000 0.500 1
La2 La 0.250 0.250 0.250 1
Pr1 Pr 0.000 0.000 0.000 1
Dy1 Dy 0.000 0.249 0.249 1
# ΔE_f, eV/atom: 0.597

Record 2
# BaCl (GGA-PBE, relaxed)
data_BaCl
_space_group_name_H-M_alt 'P 1 21/m 1'
_space_group_IT_number 11
_cell_length_a 4.326
_cell_length_b 4.325
_cell_length_c 8.376
_cell_angle_alpha 90.00
_cell_angle_beta 90.02
_cell_angle_gamma 90.00
loop_
_space_group_symop_operation_xyz
'x,y,z'
'-x,-y,-z'
'-x,y+1/2,-z'
'x,-y+1/2,z'
loop_
_atom_site_label
_atom_site_type_symbol
_atom_site_fract_x
_atom_site_fract_y
_atom_site_fract_z
_atom_site_occupancy
Ba1 Ba 0.249 0.250 0.237 1
Cl1 Cl 0.251 0.250 0.632 1
# Raw formation energy, eV per atom: -1.78